(1)
First-principles (PBE) data for an optimized crystal structure of BeAs4, as listed in Alexandria via LeMat-Bulk.

E above lowest polymorph = 0.105 eV per atom
space-group type = Im-3m, No. 229
formation energy from the elements = 0.30 eV per atom

Cell: 4.9617 4.9617 4.9617 Å, 109.47 109.47 109.47°
Sites, in units of the cell vectors:
Be 0.0000 0.0000 0.0000
As 0.5000 0.0000 0.0000
As 0.5000 0.5000 0.5000
As 0.0000 0.5000 0.0000
As 0.0000 0.0000 0.5000



(2)
First-principles (PBE) data for an optimized crystal structure of Hf2USb, as listed in Alexandria via LeMat-Bulk.

E above lowest polymorph = 0.069 eV per atom
space-group type = P4/mmm, No. 123
energy relative to the elements, uncorrected = -18.8 meV/atom

Cell: 3.6831 3.6831 6.6077 Å, 90.00 90.00 90.00°
Last column: magnetic moment on the atom in μB.
Sites, in units of the cell vectors:
Sb 0.5000 0.5000 0.5000  -0.01
Hf 0.0000 0.0000 0.7473  0.11
U 0.5000 0.5000 0.0000  1.92
Hf 0.0000 0.0000 0.2527  0.11



(3)
First-principles (PBE) data for an optimized crystal structure of CaTeAu2, as listed in Alexandria via LeMat-Bulk.

E above lowest polymorph = 0.071 eV per atom
space-group type = I-42d, No. 122
energy relative to the elements, uncorrected = -514.3 meV/atom

Cell: 4.2513 4.2513 11.3473 Å, 79.20 79.20 90.00°
Sites, in units of the cell vectors:
Te 0.7500 0.2500 0.5000
Ca 0.5000 0.5000 0.0000
Au 0.8750 0.8730 0.7500
Au 0.1270 0.6250 0.2500
Te 0.0000 0.0000 0.0000
Ca 0.2500 0.7500 0.5000
Au 0.3750 0.3770 0.7500
Au 0.6230 0.1250 0.2500